1.
This record from OQMD via LeMat-Bulk describes BaSbPd2Pb after structural relaxation. The functional is PBE.

a = 4.783 Å, b = 4.783 Å, c = 11.110 Å
α = 90.00°, β = 90.00°, γ = 90.00°
Space group P4/nmm (No. 129, origin choice 2)
Unique sites:
Ba1 0.250 0.250 0.238
Sb1 0.250 0.250 0.882
Pd1 0.250 0.250 0.642
Pd2 0.250 0.750 0.000
Pb1 0.250 0.750 0.500

2.
This record from OQMD via LeMat-Bulk describes BaSn2PdPb after structural relaxation. The functional is PBE.

a = 4.999 Å, b = 4.999 Å, c = 11.456 Å
α = 90.00°, β = 90.00°, γ = 90.00°
Space group I4mm (No. 107)
Unique sites:
Ba1 0.000 0.000 0.000
Sn1 0.000 0.500 0.254
Pd1 0.000 0.000 0.346
Pb1 0.000 0.000 0.586

3.
This record from OQMD via LeMat-Bulk describes BaSnPdPb2 after structural relaxation. The functional is PBE.

a = 5.062 Å, b = 5.062 Å, c = 11.609 Å
α = 90.00°, β = 90.00°, γ = 90.00°
Space group I4mm (No. 107)
Unique sites:
Ba1 0.000 0.000 0.000
Sn1 0.000 0.000 0.584
Pd1 0.000 0.000 0.357
Pb1 0.000 0.500 0.250

Summary of E in eV per atom
-4.71 -4.33 -4.22
(order as listed above)
Summary of V in Å³/cell
254.2 286.2 297.5
(order as listed above)